[1]
A relaxed Pm3SbAsN crystal, computed with GGA-PBE.

## Properties
**Calculated total energy**: -38.93 eV per formula unit
**Raw formation energy**: -7.58 eV/f.u.
**Total magnetization**: 0.00 μB per formula unit
**Crystal system**: monoclinic

Lattice parameters (Å, degrees): 4.2318 8.9582 9.4422 100.28 90.00 90.00
Closest atoms and distances in Å follow each position.
Atoms (fractional coordinates):
Pm (0.7500, 0.4121, 0.1481)  3 As 2.88-2.97, 2 Sb 3.15
As (0.2500, 0.6472, 0.1623)  5 Pm 2.88-3.01
As (0.7500, 0.3528, 0.8377)  5 Pm 2.88-3.01
Pm (0.2500, 0.5879, 0.8519)  3 As 2.88-2.97, 2 Sb 3.15
N (0.7500, 0.9096, 0.4027)  4 Pm 2.22-2.38
Sb (0.7500, 0.8275, 0.7884)  5 Pm 3.15-3.50
Pm (0.7500, 0.8871, 0.1649)  1 N 2.22
Pm (0.2500, 0.8434, 0.4894)  3 N 2.27-2.38
Sb (0.2500, 0.1725, 0.2116)  5 Pm 3.15-3.50
Pm (0.2500, 0.1129, 0.8351)  1 N 2.22
N (0.2500, 0.0904, 0.5973)  4 Pm 2.22-2.38
Pm (0.7500, 0.1566, 0.5106)  3 N 2.27-2.38



[2]
A relaxed Pm2TaAsN5 crystal, computed with GGA-PBE.

## Properties
**Calculated total energy**: -75.09 eV per formula unit
**Raw formation energy**: -7.46 eV/f.u.
**Total magnetization**: 0.00 μB per formula unit
**Crystal system**: orthorhombic

Lattice parameters (Å, degrees): 3.3187 7.3891 10.1212 90.00 90.00 102.98
Closest atoms and distances in Å follow each position.
Atoms (fractional coordinates):
N (0.3229, 0.6459, 0.3820)  1 As 1.97
Pm (0.8863, 0.7725, 0.1853)  8 N 2.53-2.75
Pm (0.1137, 0.2275, 0.6853)  8 N 2.53-2.75
Pm (0.8677, 0.7354, 0.8045)  6 N 2.50-2.61
N (0.5033, 0.0065, 0.2862)  1 As 1.80
N (0.4967, 0.9935, 0.7862)  1 As 1.80
Ta (0.2176, 0.4352, 0.0191)  1 N 1.90
N (0.6771, 0.3541, 0.8820)  1 As 1.97
N (0.3486, 0.6972, 0.0011)  1 Ta 1.90
N (0.0458, 0.0916, 0.0429)  2 As 1.92
N (0.9542, 0.9084, 0.5429)  2 As 1.92
N (0.2880, 0.5760, 0.6543)  2 Ta 2.15
N (0.6514, 0.3028, 0.5011)  1 Ta 1.90
Ta (0.7824, 0.5648, 0.5191)  1 N 1.90
N (0.7120, 0.4240, 0.1543)  2 Ta 2.15
As (0.4514, 0.9027, 0.4484)  4 N 1.80-1.97
As (0.5486, 0.0973, 0.9484)  4 N 1.80-1.97
Pm (0.1323, 0.2646, 0.3045)  6 N 2.50-2.61



[3]
A relaxed Pm8Te4As3N crystal, computed with GGA-PBE.

## Properties
**Calculated total energy**: -96.08 eV per formula unit
**Raw formation energy**: -23.23 eV/f.u.
**Total magnetization**: 0.00 μB per formula unit
**Crystal system**: trigonal

Lattice parameters (Å, degrees): 8.4286 8.7252 8.4284 118.88 120.00 90.00
Closest atoms and distances in Å follow each position.
Atoms (fractional coordinates):
Pm (0.7774, 0.2944, 0.0170)  1 N 2.70, 2 As 2.94
Pm (0.2397, 0.2944, 0.0170)  1 N 2.70, 2 As 2.94
N (0.0000, 0.5000, 0.0000)  6 Pm 2.70
Pm (0.2599, 0.2798, 0.5198)  3 As 2.91, 3 Te 3.17
Pm (0.7774, 0.2945, 0.5549)  1 N 2.70, 2 As 2.94
Te (0.5000, 0.0000, 0.0000)  6 Pm 3.38
Te (0.5000, 0.0000, 0.5000)  6 Pm 3.17
As (0.5000, 0.5000, 0.0000)  6 Pm 2.91-2.94
As (0.0000, 0.5000, 0.5000)  6 Pm 2.91-2.94
Te (0.0000, 0.0000, 0.0000)  6 Pm 3.17
Pm (0.7603, 0.7056, 0.9830)  1 N 2.70, 2 As 2.94
Pm (0.2226, 0.7055, 0.4451)  1 N 2.70, 2 As 2.94
Pm (0.2226, 0.7056, 0.9830)  1 N 2.70, 2 As 2.94
Pm (0.7401, 0.7202, 0.4802)  3 As 2.91, 3 Te 3.17
Te (0.0000, 0.0000, 0.5000)  6 Pm 3.17
As (0.5000, 0.5000, 0.5000)  6 Pm 2.91-2.94



[4]
A relaxed Pm3TeAsN crystal, computed with GGA-PBE.

## Properties
**Calculated total energy**: -38.69 eV per formula unit
**Raw formation energy**: -8.32 eV/f.u.
**Total magnetization**: 0.00 μB per formula unit
**Crystal system**: monoclinic

Lattice parameters (Å, degrees): 4.1935 8.9612 9.4280 100.26 90.00 90.00
Closest atoms and distances in Å follow each position.
Atoms (fractional coordinates):
As (0.2500, 0.6501, 0.1629)  6 Pm 2.90-3.22
N (0.2500, 0.0885, 0.5977)  4 Pm 2.22-2.37
As (0.7500, 0.3499, 0.8371)  6 Pm 2.90-3.22
Pm (0.7500, 0.1595, 0.5141)  3 N 2.28-2.37
N (0.7500, 0.9115, 0.4023)  4 Pm 2.22-2.37
Pm (0.7500, 0.4202, 0.1492)  3 As 2.90-2.93, 2 Te 3.19
Pm (0.2500, 0.5798, 0.8508)  3 As 2.90-2.93, 2 Te 3.19
Te (0.7500, 0.8276, 0.7878)  7 Pm 3.19-3.55
Pm (0.2500, 0.8405, 0.4859)  3 N 2.28-2.37
Pm (0.7500, 0.8812, 0.1630)  1 N 2.22
Te (0.2500, 0.1724, 0.2122)  7 Pm 3.19-3.55
Pm (0.2500, 0.1188, 0.8370)  1 N 2.22